Record 1
{"formula": "Al2AgPt", "functional": "GGA-PBE", "state": "relaxed", "relative_energy_mev_per_atom": 63, "space_group": "I-4m2, No. 119", "magnetic_moment_mub_per_atom": 0.000, "ef_mev_per_atom": -462, "cell": [[-3.512, -1.037, -3.351], [-3.384, -3.226, 1.667], [1.934, 4.208, 1.786]], "species": ["Pt", "Ag", "Al", "Al"], "frac_coords": [[0.500, 0.500, 0.000], [0.750, 0.250, 0.500], [0.250, 0.750, 0.500], [0.000, 0.000, 0.000]]}

Record 2
{"formula": "Al4AgPt", "functional": "GGA-PBE", "state": "relaxed", "space_group": "F-43m, No. 216", "magnetic_moment_mub_per_atom": 0.000, "ef_mev_per_atom": 36, "cell": [[0.000, 3.666, 3.666], [3.666, 0.000, 3.666], [3.666, 3.666, 0.000]], "species": ["Pt", "Al", "Al", "Al", "Al", "Ag"], "frac_coords": [[0.750, 0.750, 0.750], [0.375, 0.375, 0.375], [0.375, 0.874, 0.375], [0.375, 0.375, 0.874], [0.874, 0.375, 0.375], [0.000, 0.000, 0.000]]}

Record 3
{"formula": "AlAgPt", "functional": "GGA-PBE", "state": "relaxed", "relative_energy_mev_per_atom": 171, "space_group": "P-6m2, No. 187", "magnetic_moment_mub_per_atom": 0.000, "ef_mev_per_atom": -326, "cell": [[2.968, 0.000, 0.000], [-1.484, 2.565, 0.000], [0.000, 0.000, 12.895]], "species": ["Al", "Al", "Pt", "Pt", "Ag", "Ag"], "frac_coords": [[0.278, 0.555, 0.172], [0.278, 0.555, 0.828], [0.612, 0.223, 0.316], [0.612, 0.223, 0.684], [0.278, 0.556, 0.500], [0.611, 0.221, 0.000]]}

Record 4
{"formula": "RbAl2AgPt", "functional": "GGA-PBE", "state": "relaxed", "space_group": "P4/mmm, No. 123", "magnetic_moment_mub_per_atom": 0.000, "ef_mev_per_atom": 1734, "cell": [[-0.525, 1.323, -5.742], [4.507, -2.542, -0.997], [-3.020, -5.010, -0.879]], "species": ["Pt", "Al", "Al", "Ag", "Rb"], "frac_coords": [[0.000, 0.500, 0.000], [0.000, 0.000, 0.500], [0.500, 0.000, 0.000], [0.500, 0.500, 0.500], [0.000, 0.000, 0.000]]}

Record 5
{"formula": "AlReAgPt2", "functional": "GGA-PBE", "state": "relaxed", "space_group": "P4/mmm, No. 123", "magnetic_moment_mub_per_atom": 0.445, "ef_mev_per_atom": 1005, "cell": [[-0.722, -0.262, -4.477], [-0.904, -4.512, 0.410], [-4.395, 0.940, 0.654]], "species": ["Ag", "Re", "Pt", "Pt", "Al"], "frac_coords": [[0.500, 0.500, 0.500], [0.000, 0.500, 0.000], [0.500, 0.000, 0.000], [0.000, 0.000, 0.500], [0.000, 0.000, 0.000]]}

Record 6
{"formula": "AlAg2PtS", "functional": "GGA-PBE", "state": "relaxed", "raw_formation_energy_ev_per_atom": 0.643, "space_group": "P4/mmm, No. 123", "magnetic_moment_mub_per_atom": 0.000, "cell": [[4.864, 0.000, 0.000], [0.000, 4.554, 0.000], [0.000, 0.000, 4.864]], "species": ["Pt", "Al", "Ag", "Ag", "S"], "frac_coords": [[0.000, 0.500, 0.000], [0.000, 0.000, 0.000], [0.000, 0.000, 0.500], [0.500, 0.000, 0.000], [0.500, 0.500, 0.500]]}

Record 7
{"formula": "ScAlAgPt", "functional": "GGA-PBE", "state": "relaxed", "space_group": "F-43m, No. 216", "magnetic_moment_mub_per_atom": 0.000, "ef_mev_per_atom": -746, "cell": [[-2.918, 3.083, -1.730], [-4.503, -0.440, 0.737], [-2.163, 2.926, 2.789]], "species": ["Pt", "Al", "Ag", "Sc"], "frac_coords": [[0.750, 0.750, 0.750], [0.000, 0.000, 0.000], [0.250, 0.250, 0.250], [0.500, 0.500, 0.500]]}

Record 8
{"formula": "Sm2Al2AgPt5", "functional": "GGA-PBE", "state": "relaxed", "space_group": "P4/mbm, No. 127", "magnetic_moment_mub_per_atom": 0.000, "ef_mev_per_atom": -828, "cell": [[-2.672, -1.115, 2.364], [1.098, -9.337, -3.164], [6.849, -1.568, 7.002]], "species": ["Pt", "Pt", "Pt", "Pt", "Pt", "Pt", "Pt", "Pt", "Pt", "Pt", "Al", "Al", "Al", "Al", "Sm", "Sm", "Sm", "Sm", "Ag", "Ag"], "frac_coords": [[0.500, 0.500, 0.000], [0.500, 0.211, 0.063], [0.500, 0.437, 0.289], [0.500, 0.289, 0.563], [0.500, 0.063, 0.789], [0.500, 0.937, 0.211], [0.500, 0.711, 0.437], [0.500, 0.000, 0.500], [0.500, 0.789, 0.937], [0.500, 0.563, 0.711], [0.000, 0.881, 0.381], [0.000, 0.119, 0.619], [0.000, 0.619, 0.881], [0.000, 0.381, 0.119], [0.000, 0.179, 0.321], [0.000, 0.679, 0.179], [0.000, 0.321, 0.821], [0.000, 0.821, 0.679], [0.000, 0.500, 0.500], [0.000, 0.000, 0.000]]}